First-principles (PBE with a Hubbard U) data for a relaxed Cu3MoO6 crystal, as listed in Alexandria.

Computed properties:
The value obtained for the magnetization is 0.81 μB/f.u. The polymorph energy (0 for the lowest one) comes out at 36 meV/atom. As for the volume: 216.1 Å³ per cell. The value obtained for the raw total energy is -5.741 eV per atom.

```
Cu3MoO6
1.0
4.488 2.591 3.097
-4.488 2.591 3.097
0.000 -5.183 3.097
Cu Mo O
6 2 12
Cartesian
-1.994 -2.353 4.336
-3.034 0.550 4.956
1.041 -2.903 4.956
-1.041 2.903 4.336
3.034 -0.550 4.336
1.994 2.353 4.956
0.000 0.000 0.000
0.000 0.000 4.646
-3.494 -1.339 5.060
-0.587 -3.695 4.232
-1.672 0.084 3.588
-2.907 2.356 4.232
0.763 -1.490 3.588
-0.909 -1.406 5.704
0.909 1.406 3.589
-0.763 1.490 5.704
2.907 -2.356 5.060
1.672 -0.084 5.704
0.587 3.695 5.060
3.494 1.339 4.232
```